Record 1
# TlZnI2N PBE relaxed
# - Polymorph energy (0 for the lowest one): 606 meV/atom
data_TlZnI2N
_chemical_formula_sum 'Tl1 Zn1 I2 N1'
_symmetry_space_group_name_H-M 'P 1'
_symmetry_Int_Tables_number 1
_symmetry_space_group_name_Hall 'P 1'
_cell_length_a 6.216
_cell_length_b 6.216
_cell_length_c 4.429
_cell_angle_alpha 90.00
_cell_angle_beta 90.00
_cell_angle_gamma 90.00
loop_
_atom_site_label
_atom_site_type_symbol
_atom_site_fract_x
_atom_site_fract_y
_atom_site_fract_z
Tl1 Tl 0.000 0.000 0.000
Zn1 Zn 0.500 0.500 0.500
I1 I 0.000 0.500 0.000
I2 I 0.500 0.000 0.000
N1 N 0.000 0.000 0.500


Record 2
# ZrTlI2N PBE relaxed
# - Polymorph energy (0 for the lowest one): 0 meV/atom
data_ZrTlI2N
_chemical_formula_sum 'Zr1 Tl1 I2 N1'
_symmetry_space_group_name_H-M 'P 1'
_symmetry_Int_Tables_number 1
_symmetry_space_group_name_Hall 'P 1'
_cell_length_a 6.101
_cell_length_b 6.101
_cell_length_c 4.079
_cell_angle_alpha 90.00
_cell_angle_beta 90.00
_cell_angle_gamma 90.00
loop_
_atom_site_label
_atom_site_type_symbol
_atom_site_fract_x
_atom_site_fract_y
_atom_site_fract_z
Zr1 Zr 0.000 0.000 0.000
Tl1 Tl 0.500 0.500 0.500
I1 I 0.000 0.500 0.000
I2 I 0.500 0.000 0.000
N1 N 0.000 0.000 0.500


Record 3
# ZrTlI2N PBE relaxed
# - Polymorph energy (0 for the lowest one): 1485 meV/atom
data_ZrTlI2N
_chemical_formula_sum 'Zr1 Tl1 I2 N1'
_symmetry_space_group_name_H-M 'P 1'
_symmetry_Int_Tables_number 1
_symmetry_space_group_name_Hall 'P 1'
_cell_length_a 6.190
_cell_length_b 6.190
_cell_length_c 3.952
_cell_angle_alpha 90.00
_cell_angle_beta 90.00
_cell_angle_gamma 90.00
loop_
_atom_site_label
_atom_site_type_symbol
_atom_site_fract_x
_atom_site_fract_y
_atom_site_fract_z
Zr1 Zr 0.000 0.000 0.000
Tl1 Tl 0.500 0.500 0.500
I1 I 0.000 0.500 0.500
I2 I 0.500 0.000 0.500
N1 N 0.500 0.500 0.000


Record 4
# UIN PBE relaxed
# - Electronic total energy: -8.361 eV per atom
data_UIN
_chemical_formula_sum 'U2 I2 N2'
_symmetry_space_group_name_H-M 'P 1'
_symmetry_Int_Tables_number 1
_symmetry_space_group_name_Hall 'P 1'
_cell_length_a 3.906
_cell_length_b 3.906
_cell_length_c 10.183
_cell_angle_alpha 90.00
_cell_angle_beta 90.00
_cell_angle_gamma 90.00
loop_
_atom_site_label
_atom_site_type_symbol
_atom_site_fract_x
_atom_site_fract_y
_atom_site_fract_z
U1 U 0.250 0.250 0.111
U2 U 0.750 0.750 0.889
I1 I 0.250 0.250 0.694
I2 I 0.750 0.750 0.306
N1 N 0.250 0.750 0.000
N2 N 0.750 0.250 0.000


Record 5
# UIN PBE relaxed
# - Electronic total energy: -7.642 eV per atom
data_UIN
_chemical_formula_sum 'U2 I2 N2'
_symmetry_space_group_name_H-M 'P 1'
_symmetry_Int_Tables_number 1
_symmetry_space_group_name_Hall 'P 1'
_cell_length_a 3.310
_cell_length_b 3.310
_cell_length_c 11.705
_cell_angle_alpha 90.00
_cell_angle_beta 90.00
_cell_angle_gamma 90.00
loop_
_atom_site_label
_atom_site_type_symbol
_atom_site_fract_x
_atom_site_fract_y
_atom_site_fract_z
U1 U 0.000 0.000 0.000
U2 U 0.500 0.500 0.500
I1 I 0.000 0.000 0.277
I2 I 0.500 0.500 0.777
N1 N 0.000 0.000 0.537
N2 N 0.500 0.500 0.037


Record 6
# UIN PBE relaxed
# - Electronic total energy: -7.980 eV per atom
data_UIN
_chemical_formula_sum 'U1 I1 N1'
_symmetry_space_group_name_H-M 'P 1'
_symmetry_Int_Tables_number 1
_symmetry_space_group_name_Hall 'P 1'
_cell_length_a 3.815
_cell_length_b 3.815
_cell_length_c 5.286
_cell_angle_alpha 90.00
_cell_angle_beta 90.00
_cell_angle_gamma 120.00
loop_
_atom_site_label
_atom_site_type_symbol
_atom_site_fract_x
_atom_site_fract_y
_atom_site_fract_z
U1 U 0.000 0.000 0.000
I1 I 0.667 0.333 0.500
N1 N 0.333 0.667 0.000


Record 7
# UI3N PBE relaxed
# - Electronic total energy: -4.410 eV per atom
data_UI3N
_chemical_formula_sum 'U2 I6 N2'
_symmetry_space_group_name_H-M 'P 1'
_symmetry_Int_Tables_number 1
_symmetry_space_group_name_Hall 'P 1'
_cell_length_a 6.542
_cell_length_b 6.542
_cell_length_c 10.293
_cell_angle_alpha 83.48
_cell_angle_beta 83.76
_cell_angle_gamma 66.64
loop_
_atom_site_label
_atom_site_type_symbol
_atom_site_fract_x
_atom_site_fract_y
_atom_site_fract_z
U1 U 0.000 0.000 0.000
U2 U 0.498 0.502 0.000
I1 I 0.012 0.514 0.903
I2 I 0.148 0.647 0.238
I3 I 0.350 0.855 0.762
I4 I 0.487 0.987 0.098
I5 I 0.706 0.211 0.763
I6 I 0.792 0.291 0.237
N1 N 0.054 0.553 0.576
N2 N 0.446 0.947 0.424


Record 8
# U2I2N PBE relaxed
# - Electronic total energy: -6.553 eV per atom
data_U2I2N
_chemical_formula_sum 'U2 I2 N1'
_symmetry_space_group_name_H-M 'P 1'
_symmetry_Int_Tables_number 1
_symmetry_space_group_name_Hall 'P 1'
_cell_length_a 3.784
_cell_length_b 3.784
_cell_length_c 14.457
_cell_angle_alpha 90.00
_cell_angle_beta 90.00
_cell_angle_gamma 90.00
loop_
_atom_site_label
_atom_site_type_symbol
_atom_site_fract_x
_atom_site_fract_y
_atom_site_fract_z
U1 U 0.000 0.000 0.138
U2 U 0.000 0.000 0.862
I1 I 0.000 0.000 0.338
I2 I 0.000 0.000 0.662
N1 N 0.000 0.000 0.000